The following is a SCAN calculation of a crystal of Ta2InW relaxed with PBEsol, from Alexandria via LeMat-Bulk. Values from VASP.

Geometry as Quantum ESPRESSO input:
```
&SYSTEM
  ibrav = 0, nat = 4, ntyp = 3
/
ATOMIC_SPECIES
W 183.84 W.upf
In 114.82 In.upf
Ta 180.95 Ta.upf
CELL_PARAMETERS angstrom
2.797 0.000 0.000
0.000 2.797 0.000
0.000 0.000 9.151
ATOMIC_POSITIONS crystal
W 0.000 0.000 0.499
In 0.500 0.500 0.745
Ta 0.000 0.000 0.002
Ta 0.500 0.500 0.253
```

Properties
E_form (meV per atom): 314
Calculated density (g cm⁻³): 15.32
E (eV/cell): -234.98